Model a:
## Na2As2Rh (GGA-PBE)

Data for Na2As2Rh after structural relaxation.

```
data_Na2As2Rh
_space_group_name_H-M_alt 'P 4/m b m'
_space_group_IT_number 127
_space_group_name_Hall '-P 4 2ab'
_cell_length_a 6.350
_cell_length_b 6.350
_cell_length_c 4.902
_cell_angle_alpha 90.00
_cell_angle_beta 90.00
_cell_angle_gamma 90.00
loop_
_atom_site_label
_atom_site_fract_x
_atom_site_fract_y
_atom_site_fract_z
Na1 0.178 0.322 0.000
As1 0.139 0.639 0.500
Rh1 0.000 0.000 0.500
```



Model b:
## Na2As2Rh (GGA-PBE)

Data for Na2As2Rh after structural relaxation.

```
data_Na2As2Rh
_space_group_name_H-M_alt 'I 4/m m m'
_space_group_IT_number 139
_space_group_name_Hall '-I 4 2'
_cell_length_a 3.816
_cell_length_b 3.816
_cell_length_c 13.218
_cell_angle_alpha 90.00
_cell_angle_beta 90.00
_cell_angle_gamma 90.00
loop_
_atom_site_label
_atom_site_fract_x
_atom_site_fract_y
_atom_site_fract_z
Na1 0.000 0.500 0.250
As1 0.000 0.000 0.087
Rh1 0.000 0.000 0.500
```



What should be chosen as the least stable of them? Choose model b.